1.
Compound: Si2SeN
Source: the Alexandria database
Functional: GGA-PBE
Structure: relaxed

The structure in CIF format:
```
data_Si2SeN
_cell_length_a 4.269
_cell_length_b 4.269
_cell_length_c 4.269
_cell_angle_alpha 60.00
_cell_angle_beta 60.00
_cell_angle_gamma 60.00
_space_group_name_H-M_alt 'P 1'
_space_group_IT_number 1
_space_group_name_Hall 'P 1'
loop_
_atom_site_label
_atom_site_type_symbol
_atom_site_fract_x
_atom_site_fract_y
_atom_site_fract_z
N1 N 0.000 0.000 0.000
Si1 Si 0.750 0.750 0.750
Si2 Si 0.250 0.250 0.250
Se1 Se 0.500 0.500 0.500
```

DOS(E_F)	1.7	states/eV/f.u.
SG	Fm-3m (225)
uncorrected formation energy	1.1978	eV/atom
DFT total energy	-17.86	eV per formula unit

2.
Compound: Pm2Ho5Er4
Source: the Alexandria database
Functional: GGA-PBE
Structure: relaxed

The structure in CIF format:
```
data_Pm2Ho5Er4
_cell_length_a 3.539
_cell_length_b 9.366
_cell_length_c 11.734
_cell_angle_alpha 106.50
_cell_angle_beta 81.37
_cell_angle_gamma 112.23
_space_group_name_H-M_alt 'P 1'
_space_group_IT_number 1
_space_group_name_Hall 'P 1'
loop_
_atom_site_label
_atom_site_type_symbol
_atom_site_fract_x
_atom_site_fract_y
_atom_site_fract_z
Ho1 Ho 0.411 0.183 0.544
Ho2 Ho 0.956 0.093 0.273
Ho3 Ho 0.044 0.907 0.727
Ho4 Ho 0.589 0.817 0.456
Ho5 Ho 0.500 0.000 0.000
Er1 Er 0.772 0.454 0.364
Er2 Er 0.684 0.638 0.907
Er3 Er 0.316 0.362 0.093
Er4 Er 0.228 0.546 0.636
Pm1 Pm 0.863 0.272 0.818
Pm2 Pm 0.137 0.728 0.182
```

DOS(E_F)	14.6	states/eV/f.u.
SG	P-1 (2)
DFT total energy	-50.42	eV per formula unit

3.
Compound: MoOsAu2
Source: the Alexandria database
Functional: GGA-PBE
Structure: relaxed

The structure in CIF format:
```
data_MoOsAu2
_cell_length_a 3.895
_cell_length_b 2.896
_cell_length_c 6.502
_cell_angle_alpha 64.44
_cell_angle_beta 90.00
_cell_angle_gamma 90.00
_space_group_name_H-M_alt 'P 1'
_space_group_IT_number 1
_space_group_name_Hall 'P 1'
loop_
_atom_site_label
_atom_site_type_symbol
_atom_site_fract_x
_atom_site_fract_y
_atom_site_fract_z
Au1 Au 0.500 0.251 0.253
Au2 Au 0.000 0.001 0.997
Os1 Os 0.500 0.740 0.723
Mo1 Mo 0.000 0.508 0.527
```

DOS(E_F)	3.7	states/eV/f.u.
SG	Pm (6)
DFT total energy	-27.48	eV per formula unit